Density functional theory data (GGA-PBEsol) for YSiRh2 after structural relaxation.

The structure belongs to space group Pmm2 (No. 25); the cell edges are 3.0501, 3.8134 and 5.6136 Å and the angles 90.00°, 90.00° and 90.00°. The asymmetric unit holds Y at (0.0000, 0.0000, 0.0000), Si at (0.5000, 0.5000, 0.6508), Rh at (0.0000, 0.0000, 0.5259) and Rh at (0.5000, 0.5000, 0.2312).

The calculation puts the raw formation energy at -0.61 eV per atom.

Density functional theory data (GGA-PBEsol) for Y3SiRh after structural relaxation.

The structure belongs to space group Pm-3m (No. 221); the cell edges are 5.1636, 5.1636 and 5.1636 Å and the angles 90.00°, 90.00° and 90.00°. The asymmetric unit holds Y at (0.0000, 0.0000, 0.5000), Si at (0.5000, 0.5000, 0.5000) and Rh at (0.0000, 0.0000, 0.0000).

The calculation puts the raw formation energy at -0.15 eV per atom.

Density functional theory data (GGA-PBEsol) for Zn2SiRh after structural relaxation.

The structure belongs to space group Cm (No. 8); the cell edges are 8.4382, 2.9014 and 4.4801 Å and the angles 90.00°, 101.51° and 90.00°. The asymmetric unit holds Zn at (0.0000, 0.0000, 0.0000), Zn at (0.2454, 0.0000, 0.7857), Si at (0.2572, 0.5000, 0.3106) and Rh at (0.4903, 0.0000, 0.4877).

The calculation puts the raw formation energy at -0.29 eV per atom.

Density functional theory data (GGA-PBEsol) for Zn2SiRh after structural relaxation.

The structure belongs to space group Cmmm (No. 65); the cell edges are 2.7721, 4.6882 and 8.7335 Å and the angles 90.00°, 90.00° and 90.00°. The asymmetric unit holds Zn at (0.0000, 0.0000, 0.2389), Si at (0.0000, 0.5000, 0.5000) and Rh at (0.0000, 0.5000, 0.0000).

The calculation puts the raw formation energy at 0.06 eV per atom.

Density functional theory data (GGA-PBEsol) for Zr2Si2Rh after structural relaxation.

The structure belongs to space group P4/mbm (No. 127); the cell edges are 6.2625, 6.2625 and 4.1544 Å and the angles 90.00°, 90.00° and 90.00°. The asymmetric unit holds Zr at (0.1689, 0.3311, 0.0000), Si at (0.1365, 0.6365, 0.5000) and Rh at (0.0000, 0.0000, 0.5000).

The calculation puts the raw formation energy at -1.07 eV per atom.

Density functional theory data (GGA-PBEsol) for Zr2SiRh after structural relaxation.

The structure belongs to space group I4/mmm (No. 139); the cell edges are 4.1794, 4.1794 and 7.7932 Å and the angles 90.00°, 90.00° and 90.00°. The asymmetric unit holds Zr at (0.0000, 0.5000, 0.2500), Si at (0.0000, 0.0000, 0.0000) and Rh at (0.0000, 0.0000, 0.5000).

The calculation puts the raw formation energy at -0.66 eV per atom.

Density functional theory data (GGA-PBEsol) for Zr2SiRh after structural relaxation.

The structure belongs to space group Amm2 (No. 38); the cell edges are 3.9136, 3.6067 and 10.0833 Å and the angles 90.00°, 90.00° and 90.00°. The asymmetric unit holds Zr at (0.0000, 0.0000, 0.0000), Zr at (0.5000, 0.0000, 0.2911), Si at (0.5000, 0.0000, 0.5646) and Rh at (0.0000, 0.0000, 0.7223).

The calculation puts the raw formation energy at -0.86 eV per atom.

Density functional theory data (GGA-PBEsol) for Zr2SiRh after structural relaxation.

The structure belongs to space group I-4m2 (No. 119); the cell edges are 3.7816, 3.7816 and 9.6219 Å and the angles 90.00°, 90.00° and 90.00°. The asymmetric unit holds Zr at (0.0000, 0.0000, 0.0000), Zr at (0.0000, 0.5000, 0.2500), Si at (0.0000, 0.5000, 0.7500) and Rh at (0.0000, 0.0000, 0.5000).

The calculation puts the raw formation energy at -0.73 eV per atom.

Density functional theory data (GGA-PBEsol) for Sm3Rh after structural relaxation.

The structure belongs to space group Pnma (No. 62); the cell edges are 7.1435, 9.6249 and 6.2778 Å and the angles 90.00°, 90.00° and 90.00°. The asymmetric unit holds Sm at (0.0342, 0.2500, 0.1418), Sm at (0.1767, 0.0640, 0.6683) and Rh at (0.1201, 0.7500, 0.4331).

Density functional theory data (GGA-PBEsol) for SmRh2 after structural relaxation.

The structure belongs to space group Fd-3m (No. 227, origin choice 2); the cell edges are 7.4909, 7.4909 and 7.4909 Å and the angles 90.00°, 90.00° and 90.00°. The asymmetric unit holds Sm at (0.1250, 0.1250, 0.1250) and Rh at (0.0000, 0.0000, 0.5000).

Density functional theory data (GGA-PBEsol) for SmSn4Rh2 after structural relaxation.

The structure belongs to space group Pnma (No. 62); the cell edges are 18.2815, 4.4379 and 7.1090 Å and the angles 90.00°, 90.00° and 90.00°. The asymmetric unit holds Sm at (0.1415, 0.2500, 0.0036), Sn at (0.0328, 0.7500, 0.8669), Sn at (0.0675, 0.2500, 0.4787), Sn at (0.1821, 0.7500, 0.3003), Sn at (0.1940, 0.7500, 0.7240), Rh at (0.0346, 0.7500, 0.2505) and Rh at (0.2137, 0.2500, 0.5167).

Density functional theory data (GGA-PBEsol) for SmTmRh2 after structural relaxation.

The structure belongs to space group Fm-3m (No. 225); the cell edges are 6.7706, 6.7706 and 6.7706 Å and the angles 90.00°, 90.00° and 90.00°. The asymmetric unit holds Sm at (0.0000, 0.0000, 0.0000), Tm at (0.0000, 0.0000, 0.5000) and Rh at (0.2500, 0.2500, 0.2500).

| no. | total DFT energy (no corrections) (eV/atom) | D(E_F) (states/eV per atom) |
| --- | --- | --- |
| 1 | -7.824 | 0.454 |
| 2 | -7.018 | 0.930 |
| 3 | -4.547 | 0.361 |
| 4 | -4.206 | 0.419 |
| 5 | -8.635 | 0.544 |
| 6 | -8.679 | 0.952 |
| 7 | -8.880 | 0.823 |
| 8 | -8.745 | 0.499 |
| 9 | -6.282 | 0.998 |
| 10 | -7.802 | 0.472 |
| 11 | -6.155 | 0.292 |
| 12 | -7.347 | 0.545 |